A plane-wave DFT calculation with PBE was carried out for an optimized crystal structure of Cd4Ag4Au5.

Properties
ΔE_f (meV per atom): -116
Volume (Å³/cell): 245
Energy (eV per formula unit): -33.0

Lattice parameters (Å, degrees): 4.2741 7.8615 7.8615 85.76 74.23 74.23
Element x y z (fractional)
Ag 0.0797 0.5314 0.3091
Ag 0.3889 0.6909 0.5314
Ag 0.6111 0.3091 0.4686
Ag 0.9203 0.4686 0.6909
Au 0.3061 0.1469 0.2409
Au 0.5470 0.7591 0.1469
Au 0.4530 0.2409 0.8531
Au 0.0000 0.0000 0.0000
Au 0.6939 0.8531 0.7591
Cd 0.8553 0.9134 0.3760
Cd 0.2313 0.6240 0.9134
Cd 0.7687 0.3760 0.0866
Cd 0.1447 0.0866 0.6240